# GGA-PBE TbSm4Tm3, relaxed
# Energy relative to the elements = 0.021 eV/atom
# Theoretical density = 8.09 g cm⁻³
# Crystal system = orthorhombic
# Total magnetic moment = 0.0 Bohr magnetons per cell
data_TbSm4Tm3
_symmetry_space_group_name_H-M 'P m n 21'
_symmetry_Int_Tables_number 31
_cell_length_a 11.379
_cell_length_b 7.278
_cell_length_c 6.281
_cell_angle_alpha 90.00
_cell_angle_beta 90.00
_cell_angle_gamma 90.00
loop_
_symmetry_equiv_pos_as_xyz
'x,y,z'
'-x+1/2,-y,z+1/2'
'-x,y,z'
'x+1/2,-y,z+1/2'
loop_
_atom_site_label
_atom_site_fract_x
_atom_site_fract_y
_atom_site_fract_z
Tb1 0.000 0.123 0.000
Sm1 0.000 0.371 0.501
Sm2 0.000 0.628 0.995
Sm3 0.248 0.627 0.332
Tm1 0.000 0.879 0.499
Tm2 0.250 0.121 0.332